--- i ---
VASP calculation (PBE-GGA) on a geometry-optimized K2AgRh structure.

Output
- V: 200.2 Å³ per cell
- N(E_F): 4.090 states/eV per cell

a = 6.3672 Å, b = 10.2695 Å, c = 3.0616 Å
α = 90.00°, β = 90.00°, γ = 90.00°
Space group Cmmm (No. 65)
One atom of each set of equivalent atoms:
K 0.2500 0.2500 0.0000 (multiplicity 4)
Ag 0.0000 0.0000 0.5000 (multiplicity 2)
Rh 0.0000 0.5000 0.5000 (multiplicity 2)


--- ii ---
VASP calculation (PBE-GGA) on a geometry-optimized K2AgRh structure.

Output
- V: 200.9 Å³ per cell
- N(E_F): 14.308 states/eV per cell

a = 5.2217 Å, b = 5.2217 Å, c = 7.3694 Å
α = 90.00°, β = 90.00°, γ = 90.00°
Space group I-4m2 (No. 119)
One atom of each set of equivalent atoms:
K 0.0000 0.0000 0.0000 (multiplicity 2)
K 0.0000 0.5000 0.2500 (multiplicity 2)
Ag 0.0000 0.5000 0.7500 (multiplicity 2)
Rh 0.0000 0.0000 0.5000 (multiplicity 2)


Verdict on stability: i comes out at the bottom.


--- i ---
VASP calculation (PBE-GGA) on a geometry-optimized K2AgRh structure.

Output
- V: 448.9 Å³ per cell
- N(E_F): 11.829 states/eV per cell

a = 7.6568 Å, b = 7.6568 Å, c = 7.6568 Å
α = 90.00°, β = 90.00°, γ = 90.00°
Space group Fm-3m (No. 225)
One atom of each set of equivalent atoms:
K 0.2500 0.2500 0.2500 (multiplicity 8)
Ag 0.0000 0.0000 0.0000 (multiplicity 4)
Rh 0.0000 0.0000 0.5000 (multiplicity 4)


--- ii ---
VASP calculation (PBE-GGA) on a geometry-optimized K2AgRh structure.

Output
- V: 197.6 Å³ per cell
- N(E_F): 3.310 states/eV per cell

a = 4.3974 Å, b = 4.3974 Å, c = 10.2168 Å
α = 90.00°, β = 90.00°, γ = 90.00°
Space group I4/mmm (No. 139)
One atom of each set of equivalent atoms:
K 0.0000 0.5000 0.2500 (multiplicity 4)
Ag 0.0000 0.0000 0.0000 (multiplicity 2)
Rh 0.0000 0.0000 0.5000 (multiplicity 2)


Verdict on stability: i comes out at the bottom.